1.
# AcCe2Rh PBE optimized geometry
# energy of formation: -0.26 eV per atom
# E above lowest polymorph: 0.009 eV/atom
data_AcCe2Rh
_cell_length_a 3.6809
_cell_length_b 3.6809
_cell_length_c 8.3256
_cell_angle_alpha 90.00
_cell_angle_beta 90.00
_cell_angle_gamma 90.00
_symmetry_space_group_name_H-M 'P 4/m m m'
_symmetry_Int_Tables_number 123
_symmetry_space_group_name_Hall '-P 4 2'
loop_
_atom_site_label
_atom_site_type_symbol
_atom_site_fract_x
_atom_site_fract_y
_atom_site_fract_z
Ac1 Ac 0.0000 0.0000 0.0000
Ce1 Ce 0.5000 0.5000 0.3216
Rh1 Rh 0.0000 0.0000 0.5000

2.
# PmMgSiGe PBE optimized geometry
# raw formation energy: -0.24 eV/atom
data_PmMgSiGe
_cell_length_a 7.0215
_cell_length_b 7.0215
_cell_length_c 7.0215
_cell_angle_alpha 90.00
_cell_angle_beta 90.00
_cell_angle_gamma 90.00
_symmetry_space_group_name_H-M 'F -4 3 m'
_symmetry_Int_Tables_number 216
_symmetry_space_group_name_Hall 'F -4 2 3'
loop_
_atom_site_label
_atom_site_type_symbol
_atom_site_fract_x
_atom_site_fract_y
_atom_site_fract_z
Pm1 Pm 0.0000 0.0000 0.0000
Mg1 Mg 0.0000 0.0000 0.5000
Si1 Si 0.2500 0.2500 0.7500
Ge1 Ge 0.2500 0.2500 0.2500

3.
# SrCrIr2 PBE optimized geometry
# energy of formation: 0.51 eV per atom
# E above lowest polymorph: 0.489 eV/atom
data_SrCrIr2
_cell_length_a 2.8846
_cell_length_b 2.8846
_cell_length_c 28.0351
_cell_angle_alpha 90.00
_cell_angle_beta 90.00
_cell_angle_gamma 120.00
_symmetry_space_group_name_H-M 'R -3 m'
_symmetry_Int_Tables_number 166
_symmetry_space_group_name_Hall '-R 3 2"'
loop_
_atom_site_label
_atom_site_type_symbol
_atom_site_fract_x
_atom_site_fract_y
_atom_site_fract_z
Sr1 Sr 0.0000 0.0000 0.0000
Cr1 Cr 0.0000 0.0000 0.5000
Ir1 Ir 0.0000 0.0000 0.2362

4.
# VFeC PBE optimized geometry
# energy of formation: 0.22 eV per atom
# E above lowest polymorph: 0.335 eV/atom
data_VFeC
_cell_length_a 3.4684
_cell_length_b 3.4684
_cell_length_c 2.7308
_cell_angle_alpha 90.00
_cell_angle_beta 90.00
_cell_angle_gamma 120.00
_symmetry_space_group_name_H-M 'P 3 m 1'
_symmetry_Int_Tables_number 156
loop_
_symmetry_equiv_pos_as_xyz
'x,y,z'
'-y,x-y,z'
'-x+y,-x,z'
'-y,-x,z'
'-x+y,y,z'
'x,x-y,z'
loop_
_atom_site_label
_atom_site_type_symbol
_atom_site_fract_x
_atom_site_fract_y
_atom_site_fract_z
V1 V 0.0000 0.0000 0.0000
Fe1 Fe 0.6667 0.3333 0.4558
C1 C 0.3333 0.6667 0.4395

5.
# ZrCu3S4 PBE optimized geometry
# raw formation energy: -0.63 eV/atom
data_ZrCu3S4
_cell_length_a 5.3934
_cell_length_b 5.3934
_cell_length_c 10.8859
_cell_angle_alpha 90.00
_cell_angle_beta 90.00
_cell_angle_gamma 90.00
_symmetry_space_group_name_H-M 'I -4 2 m'
_symmetry_Int_Tables_number 121
_symmetry_space_group_name_Hall 'I -4 2'
loop_
_atom_site_label
_atom_site_type_symbol
_atom_site_fract_x
_atom_site_fract_y
_atom_site_fract_z
Zr1 Zr 0.0000 0.0000 0.0000
Cu1 Cu 0.0000 0.0000 0.5000
Cu2 Cu 0.0000 0.5000 0.2500
S1 S 0.2385 0.2385 0.3695

6.
# Rb2NpReO6 PBE optimized geometry
# raw formation energy: -2.08 eV/atom
data_Rb2NpReO6
_cell_length_a 5.8965
_cell_length_b 5.8965
_cell_length_c 4.3293
_cell_angle_alpha 90.00
_cell_angle_beta 90.00
_cell_angle_gamma 90.00
_symmetry_space_group_name_H-M 'P 4 m m'
_symmetry_Int_Tables_number 99
loop_
_symmetry_equiv_pos_as_xyz
'x,y,z'
'-y,x,z'
'-x,-y,z'
'y,-x,z'
'-x,y,z'
'y,x,z'
'x,-y,z'
'-y,-x,z'
loop_
_atom_site_label
_atom_site_type_symbol
_atom_site_fract_x
_atom_site_fract_y
_atom_site_fract_z
Rb1 Rb 0.0000 0.5000 0.0000
Np1 Np 0.0000 0.0000 0.5066
Re1 Re 0.5000 0.5000 0.4646
O1 O 0.0000 0.0000 0.0121
O2 O 0.2670 0.2670 0.5118
O3 O 0.5000 0.5000 0.0408

7.
# HfTh2Ge3Pt4 PBE optimized geometry
# energy of formation: -0.96 eV per atom
data_HfTh2Ge3Pt4
_cell_length_a 4.2988
_cell_length_b 4.2988
_cell_length_c 10.8839
_cell_angle_alpha 90.00
_cell_angle_beta 90.00
_cell_angle_gamma 90.00
_symmetry_space_group_name_H-M 'P -4 m 2'
_symmetry_Int_Tables_number 115
loop_
_symmetry_equiv_pos_as_xyz
'x,y,z'
'y,-x,-z'
'-x,-y,z'
'-y,x,-z'
'-x,y,z'
'-y,-x,-z'
'x,-y,z'
'y,x,-z'
loop_
_atom_site_label
_atom_site_type_symbol
_atom_site_fract_x
_atom_site_fract_y
_atom_site_fract_z
Hf1 Hf 0.0000 0.0000 0.0000
Th1 Th 0.0000 0.5000 0.7270
Ge1 Ge 0.0000 0.5000 0.3696
Ge2 Ge 0.5000 0.5000 0.0000
Pt1 Pt 0.0000 0.0000 0.5000
Pt2 Pt 0.0000 0.5000 0.1433
Pt3 Pt 0.5000 0.5000 0.5000

8.
# PrSmPS PBE optimized geometry
# raw formation energy: -1.84 eV/atom
data_PrSmPS
_cell_length_a 4.1051
_cell_length_b 4.1051
_cell_length_c 20.2430
_cell_angle_alpha 90.00
_cell_angle_beta 90.00
_cell_angle_gamma 120.00
_symmetry_space_group_name_H-M 'R 3 m'
_symmetry_Int_Tables_number 160
_symmetry_space_group_name_Hall 'R 3 -2"'
loop_
_atom_site_label
_atom_site_type_symbol
_atom_site_fract_x
_atom_site_fract_y
_atom_site_fract_z
Pr1 Pr 0.0000 0.0000 0.0000
Sm1 Sm 0.0000 0.0000 0.4946
P1 P 0.0000 0.0000 0.7495
S1 S 0.0000 0.0000 0.2450

What are the size of the total moment values for these records? In order: 1.18 0.00 0.56 0.00 0.00 4.00 0.00 0.00 μB per formula unit.
What are the final energy values for these records? In order: -6.0948 -4.3371 -6.7425 -8.7160 -5.3005 -7.7892 -7.2364 -6.6033 eV/atom.